1.
# PBE NdYIn4, optimized geometry
# ΔE to the lowest computed polymorph: 145 meV/atom
# formation enthalpy at 0 K: -6.99 kcal/mol of atoms
# crystal system: orthorhombic
data_NdYIn4
_symmetry_space_group_name_H-M 'P 1'
_symmetry_Int_Tables_number 1
_cell_length_a 3.643
_cell_length_b 3.643
_cell_length_c 12.275
_cell_angle_alpha 90.00
_cell_angle_beta 90.00
_cell_angle_gamma 85.87
loop_
_symmetry_equiv_pos_as_xyz
'x,y,z'
loop_
_atom_site_label
_atom_site_type_symbol
_atom_site_fract_x
_atom_site_fract_y
_atom_site_fract_z
Nd1 Nd 0.000 0.000 0.000
In1 In 0.500 0.500 0.180
In2 In 0.000 0.000 0.329
In3 In 0.000 0.000 0.671
In4 In 0.500 0.500 0.820
Y1 Y 0.500 0.500 0.500



2.
# PBE NdY4In5, optimized geometry
# formation enthalpy at 0 K: -11.51 kcal/mol of atoms
# crystal system: tetragonal
data_NdY4In5
_symmetry_space_group_name_H-M 'P 1'
_symmetry_Int_Tables_number 1
_cell_length_a 3.777
_cell_length_b 3.777
_cell_length_c 19.041
_cell_angle_alpha 90.00
_cell_angle_beta 90.00
_cell_angle_gamma 90.00
loop_
_symmetry_equiv_pos_as_xyz
'x,y,z'
loop_
_atom_site_label
_atom_site_type_symbol
_atom_site_fract_x
_atom_site_fract_y
_atom_site_fract_z
Y1 Y 0.000 0.000 0.402
Y2 Y 0.000 0.000 0.205
Y3 Y 0.000 0.000 0.795
Y4 Y 0.000 0.000 0.598
In1 In 0.500 0.500 0.107
In2 In 0.500 0.500 0.697
In3 In 0.500 0.500 0.500
In4 In 0.500 0.500 0.893
In5 In 0.500 0.500 0.303
Nd1 Nd 0.000 0.000 0.000



3.
# PBE Nd3Y2In3, optimized geometry
# formation enthalpy at 0 K: -8.55 kcal/mol of atoms
# crystal system: orthorhombic
data_Nd3Y2In3
_symmetry_space_group_name_H-M 'P 1'
_symmetry_Int_Tables_number 1
_cell_length_a 3.857
_cell_length_b 5.484
_cell_length_c 11.859
_cell_angle_alpha 103.37
_cell_angle_beta 99.36
_cell_angle_gamma 90.00
loop_
_symmetry_equiv_pos_as_xyz
'x,y,z'
loop_
_atom_site_label
_atom_site_type_symbol
_atom_site_fract_x
_atom_site_fract_y
_atom_site_fract_z
In1 In 0.000 0.500 0.000
In2 In 0.122 0.122 0.244
In3 In 0.878 0.878 0.756
Y1 Y 0.734 0.234 0.468
Y2 Y 0.266 0.766 0.532
Nd1 Nd 0.623 0.623 0.246
Nd2 Nd 0.500 0.000 0.000
Nd3 Nd 0.377 0.377 0.754



4.
# PBE Nd5YIn4, optimized geometry
# ΔE to the lowest computed polymorph: 0 meV/atom
# formation enthalpy at 0 K: -8.65 kcal/mol of atoms
# crystal system: tetragonal
data_Nd5YIn4
_symmetry_space_group_name_H-M 'P 1'
_symmetry_Int_Tables_number 1
_cell_length_a 3.656
_cell_length_b 3.656
_cell_length_c 22.572
_cell_angle_alpha 90.00
_cell_angle_beta 90.00
_cell_angle_gamma 90.00
loop_
_symmetry_equiv_pos_as_xyz
'x,y,z'
loop_
_atom_site_label
_atom_site_type_symbol
_atom_site_fract_x
_atom_site_fract_y
_atom_site_fract_z
In1 In 0.000 0.000 0.596
In2 In 0.000 0.000 0.211
In3 In 0.000 0.000 0.404
In4 In 0.000 0.000 0.789
Y1 Y 0.000 0.000 0.000
Nd1 Nd 0.500 0.500 0.116
Nd2 Nd 0.500 0.500 0.500
Nd3 Nd 0.500 0.500 0.884
Nd4 Nd 0.500 0.500 0.307
Nd5 Nd 0.500 0.500 0.693



5.
# PBE Nd5YIn4, optimized geometry
# ΔE to the lowest computed polymorph: 252 meV/atom
# formation enthalpy at 0 K: -2.82 kcal/mol of atoms
# crystal system: orthorhombic
data_Nd5YIn4
_symmetry_space_group_name_H-M 'P 1'
_symmetry_Int_Tables_number 1
_cell_length_a 8.768
_cell_length_b 8.390
_cell_length_c 9.228
_cell_angle_alpha 90.00
_cell_angle_beta 90.00
_cell_angle_gamma 90.00
loop_
_symmetry_equiv_pos_as_xyz
'x,y,z'
loop_
_atom_site_label
_atom_site_type_symbol
_atom_site_fract_x
_atom_site_fract_y
_atom_site_fract_z
Nd1 Nd 0.733 0.743 0.694
Nd2 Nd 0.267 0.757 0.806
Nd3 Nd 0.267 0.243 0.194
Nd4 Nd 0.267 0.243 0.806
Nd5 Nd 0.658 0.500 0.000
Nd6 Nd 0.733 0.743 0.306
Nd7 Nd 0.733 0.257 0.306
Nd8 Nd 0.342 0.000 0.500
Nd9 Nd 0.267 0.757 0.194
Nd10 Nd 0.733 0.257 0.694
In1 In 0.993 0.500 0.839
In2 In 0.436 0.661 0.500
In3 In 0.564 0.161 0.000
In4 In 0.007 0.000 0.661
In5 In 0.436 0.339 0.500
In6 In 0.993 0.500 0.161
In7 In 0.007 0.000 0.339
In8 In 0.564 0.839 0.000
Y1 Y 0.083 0.500 0.500
Y2 Y 0.917 0.000 0.000



6.
# PBE NdY2In, optimized geometry
# ΔE to the lowest computed polymorph: 17 meV/atom
# formation enthalpy at 0 K: -5.93 kcal/mol of atoms
# crystal system: tetragonal
data_NdY2In
_symmetry_space_group_name_H-M 'P 1'
_symmetry_Int_Tables_number 1
_cell_length_a 3.633
_cell_length_b 3.633
_cell_length_c 9.228
_cell_angle_alpha 90.00
_cell_angle_beta 90.00
_cell_angle_gamma 90.00
loop_
_symmetry_equiv_pos_as_xyz
'x,y,z'
loop_
_atom_site_label
_atom_site_type_symbol
_atom_site_fract_x
_atom_site_fract_y
_atom_site_fract_z
In1 In 0.500 0.500 0.000
Y1 Y 0.000 0.000 0.221
Y2 Y 0.000 0.000 0.779
Nd1 Nd 0.500 0.500 0.500



7.
# PBE Nd3Y2In2, optimized geometry
# ΔE to the lowest computed polymorph: 0 meV/atom
# formation enthalpy at 0 K: -5.98 kcal/mol of atoms
# crystal system: monoclinic
data_Nd3Y2In2
_symmetry_space_group_name_H-M 'P 1'
_symmetry_Int_Tables_number 1
_cell_length_a 5.330
_cell_length_b 6.445
_cell_length_c 6.934
_cell_angle_alpha 88.02
_cell_angle_beta 90.00
_cell_angle_gamma 114.42
loop_
_symmetry_equiv_pos_as_xyz
'x,y,z'
loop_
_atom_site_label
_atom_site_type_symbol
_atom_site_fract_x
_atom_site_fract_y
_atom_site_fract_z
Nd1 Nd 0.706 0.411 0.161
Nd2 Nd 0.294 0.589 0.839
Nd3 Nd 0.000 0.000 0.000
In1 In 0.879 0.758 0.578
In2 In 0.121 0.242 0.422
Y1 Y 0.602 0.205 0.672
Y2 Y 0.398 0.795 0.328



8.
# PBE Nd3Y4In, optimized geometry
# ΔE to the lowest computed polymorph: 175 meV/atom
# formation enthalpy at 0 K: 1.35 kcal/mol of atoms
# crystal system: monoclinic
data_Nd3Y4In
_symmetry_space_group_name_H-M 'P 1'
_symmetry_Int_Tables_number 1
_cell_length_a 3.467
_cell_length_b 5.830
_cell_length_c 13.344
_cell_angle_alpha 98.13
_cell_angle_beta 97.46
_cell_angle_gamma 90.00
loop_
_symmetry_equiv_pos_as_xyz
'x,y,z'
loop_
_atom_site_label
_atom_site_type_symbol
_atom_site_fract_x
_atom_site_fract_y
_atom_site_fract_z
Nd1 Nd 0.848 0.302 0.697
Nd2 Nd 0.152 0.698 0.303
Nd3 Nd 0.000 0.500 0.000
Y1 Y 0.099 0.162 0.198
Y2 Y 0.283 0.768 0.566
Y3 Y 0.717 0.232 0.434
Y4 Y 0.901 0.838 0.802
In1 In 0.500 0.000 0.000



9.
# PBE NdYIn2, optimized geometry
# formation enthalpy at 0 K: -11.58 kcal/mol of atoms
# crystal system: tetragonal
data_NdYIn2
_symmetry_space_group_name_H-M 'P 1'
_symmetry_Int_Tables_number 1
_cell_length_a 3.817
_cell_length_b 3.817
_cell_length_c 7.649
_cell_angle_alpha 90.00
_cell_angle_beta 90.00
_cell_angle_gamma 90.00
loop_
_symmetry_equiv_pos_as_xyz
'x,y,z'
loop_
_atom_site_label
_atom_site_type_symbol
_atom_site_fract_x
_atom_site_fract_y
_atom_site_fract_z
Nd1 Nd 0.500 0.500 0.500
In1 In 0.000 0.000 0.238
In2 In 0.000 0.000 0.762
Y1 Y 0.500 0.500 0.000



10.
# PBE Nd12Y7In, optimized geometry
# ΔE to the lowest computed polymorph: 0 meV/atom
# formation enthalpy at 0 K: 2.03 kcal/mol of atoms
# crystal system: trigonal
data_Nd12Y7In
_symmetry_space_group_name_H-M 'P 1'
_symmetry_Int_Tables_number 1
_cell_length_a 9.381
_cell_length_b 9.381
_cell_length_c 9.381
_cell_angle_alpha 107.47
_cell_angle_beta 107.47
_cell_angle_gamma 107.47
loop_
_symmetry_equiv_pos_as_xyz
'x,y,z'
loop_
_atom_site_label
_atom_site_type_symbol
_atom_site_fract_x
_atom_site_fract_y
_atom_site_fract_z
Y1 Y 0.500 0.500 0.500
Y2 Y 0.312 0.007 0.897
Y3 Y 0.103 0.688 0.993
Y4 Y 0.993 0.103 0.688
Y5 Y 0.007 0.897 0.312
Y6 Y 0.897 0.312 0.007
Y7 Y 0.688 0.993 0.103
Nd1 Nd 0.398 0.063 0.294
Nd2 Nd 0.937 0.706 0.602
Nd3 Nd 0.063 0.294 0.398
Nd4 Nd 0.221 0.679 0.383
Nd5 Nd 0.383 0.221 0.679
Nd6 Nd 0.779 0.321 0.617
Nd7 Nd 0.602 0.937 0.706
Nd8 Nd 0.617 0.779 0.321
Nd9 Nd 0.294 0.398 0.063
Nd10 Nd 0.706 0.602 0.937
Nd11 Nd 0.321 0.617 0.779
Nd12 Nd 0.679 0.383 0.221
In1 In 0.000 0.000 0.000



Question: Among the records above, which one has the lowest formation enthalpy at 0 K?
Answer: NdYIn2